First-principles (GGA-PBEsol) data for crystalline LiNb10O18 at its relaxed geometry, as listed in Alexandria via LeMat-Bulk.

Lattice parameters (Å, degrees): 7.851 9.371 10.297 90.00 110.28 90.00
Element x y z (fractional)
1 Li 0.000 0.000 0.000
2 Li 0.000 0.500 0.500
3 Nb 0.004 0.116 0.669
4 Nb 0.004 0.384 0.169
5 Nb 0.182 0.630 0.123
6 Nb 0.182 0.870 0.623
7 Nb 0.197 0.127 0.480
8 Nb 0.197 0.373 0.980
9 Nb 0.397 0.114 0.271
10 Nb 0.397 0.386 0.771
11 Nb 0.398 0.629 0.438
12 Nb 0.398 0.871 0.938
13 Nb 0.602 0.129 0.062
14 Nb 0.602 0.371 0.562
15 Nb 0.603 0.614 0.229
16 Nb 0.603 0.886 0.729
17 Nb 0.803 0.627 0.020
18 Nb 0.803 0.873 0.520
19 Nb 0.818 0.130 0.377
20 Nb 0.818 0.370 0.877
21 Nb 0.996 0.616 0.831
22 Nb 0.996 0.884 0.331
23 O 0.009 0.238 0.849
24 O 0.009 0.262 0.349
25 O 0.196 0.747 0.460
26 O 0.196 0.753 0.960
27 O 0.197 0.006 0.301
28 O 0.197 0.494 0.801
29 O 0.201 0.511 0.304
30 O 0.201 0.989 0.804
31 O 0.202 0.247 0.146
32 O 0.202 0.253 0.646
33 O 0.394 0.006 0.099
34 O 0.394 0.494 0.599
35 O 0.400 0.502 0.106
36 O 0.400 0.998 0.606
37 O 0.410 0.739 0.272
38 O 0.410 0.761 0.772
39 O 0.415 0.245 0.432
40 O 0.415 0.255 0.932
41 O 0.585 0.745 0.068
42 O 0.585 0.755 0.568
43 O 0.590 0.239 0.228
44 O 0.590 0.261 0.728
45 O 0.600 0.002 0.394
46 O 0.600 0.498 0.894
47 O 0.606 0.506 0.401
48 O 0.606 0.994 0.901
49 O 0.798 0.747 0.354
50 O 0.798 0.753 0.854
51 O 0.799 0.011 0.196
52 O 0.799 0.489 0.696
53 O 0.803 0.506 0.199
54 O 0.803 0.994 0.699
55 O 0.804 0.247 0.040
56 O 0.804 0.253 0.540
57 O 0.991 0.738 0.651
58 O 0.991 0.762 0.151

Properties
As for the density of states at the Fermi level: 4.46 states/eV/f.u. The final energy comes out at -9.415 eV/atom. The crystal system is monoclinic.

=====

First-principles (GGA-PBEsol) data for crystalline LiNb7O12 at its relaxed geometry, as listed in Alexandria via LeMat-Bulk.

Lattice parameters (Å, degrees): 10.735 9.466 10.298 90.00 104.69 90.00
Element x y z (fractional)
1 Li 0.086 0.066 0.470
2 Li 0.086 0.434 0.970
3 Li 0.914 0.566 0.030
4 Li 0.914 0.934 0.530
5 Nb 0.078 0.121 0.811
6 Nb 0.078 0.379 0.311
7 Nb 0.087 0.631 0.463
8 Nb 0.087 0.869 0.963
9 Nb 0.215 0.622 0.255
10 Nb 0.215 0.878 0.755
11 Nb 0.221 0.119 0.093
12 Nb 0.221 0.381 0.593
13 Nb 0.349 0.132 0.882
14 Nb 0.349 0.368 0.382
15 Nb 0.358 0.633 0.539
16 Nb 0.358 0.867 0.039
17 Nb 0.500 0.109 0.659
18 Nb 0.500 0.391 0.159
19 Nb 0.500 0.609 0.841
20 Nb 0.500 0.891 0.341
21 Nb 0.642 0.133 0.961
22 Nb 0.642 0.367 0.461
23 Nb 0.651 0.632 0.618
24 Nb 0.651 0.868 0.118
25 Nb 0.779 0.619 0.407
26 Nb 0.779 0.881 0.907
27 Nb 0.785 0.122 0.245
28 Nb 0.785 0.378 0.745
29 Nb 0.913 0.131 0.037
30 Nb 0.913 0.369 0.537
31 Nb 0.922 0.621 0.689
32 Nb 0.922 0.879 0.189
33 O 0.070 0.503 0.635
34 O 0.070 0.997 0.135
35 O 0.071 0.240 0.983
36 O 0.071 0.260 0.483
37 O 0.075 0.001 0.643
38 O 0.075 0.499 0.143
39 O 0.076 0.750 0.298
40 O 0.076 0.750 0.798
41 O 0.212 0.247 0.266
42 O 0.212 0.253 0.766
43 O 0.222 0.748 0.087
44 O 0.222 0.752 0.587
45 O 0.359 0.007 0.711
46 O 0.359 0.250 0.053
47 O 0.359 0.250 0.553
48 O 0.359 0.493 0.211
49 O 0.363 0.505 0.714
50 O 0.363 0.995 0.214
51 O 0.366 0.748 0.373
52 O 0.366 0.752 0.873
53 O 0.496 0.239 0.822
54 O 0.496 0.261 0.322
55 O 0.500 0.000 0.000
56 O 0.500 0.000 0.500
57 O 0.500 0.500 0.000
58 O 0.500 0.500 0.500
59 O 0.504 0.739 0.678
60 O 0.504 0.761 0.178
61 O 0.634 0.248 0.127
62 O 0.634 0.252 0.627
63 O 0.637 0.005 0.786
64 O 0.637 0.495 0.286
65 O 0.641 0.507 0.789
66 O 0.641 0.750 0.447
67 O 0.641 0.750 0.947
68 O 0.641 0.993 0.289
69 O 0.778 0.248 0.413
70 O 0.778 0.252 0.913
71 O 0.788 0.747 0.234
72 O 0.788 0.753 0.734
73 O 0.924 0.250 0.202
74 O 0.924 0.250 0.702
75 O 0.925 0.501 0.857
76 O 0.925 0.999 0.357
77 O 0.929 0.740 0.517
78 O 0.929 0.760 0.017
79 O 0.930 0.003 0.865
80 O 0.930 0.497 0.365

Properties
As for the density of states at the Fermi level: 8.76 states/eV/f.u. The final energy comes out at -9.341 eV/atom. The crystal system is monoclinic.